Ac3Al3Hg8: optimized geometry, GGA-PBE.

As for the formation energy: -311 meV/atom.

It has space group Immm (No. 71), with a = 4.887 Å, b = 10.612 Å, c = 13.908 Å, α = 90.00°, β = 90.00° and γ = 90.00°. Symmetry generates all atoms from Ac at (0.000, 0.000, 0.000), Ac at (0.000, 0.000, 0.303), Al at (0.000, 0.189, 0.500), Al at (0.000, 0.500, 0.000), Hg at (0.000, 0.292, 0.132) and Hg at (0.000, 0.363, 0.349).